# 1
## K2Ga2Mo (PBE)

Data for a relaxed structure of K2Ga2Mo.

Structure (extended XYZ):
```
5
Lattice="-0.551 -3.603 -0.848 2.259 -1.007 2.809 -8.310 -2.612 8.240" Properties=species:S:1:pos:R:3 pbc="T T T"
Ga -2.599 -2.962 6.014
Ga -4.004 -4.260 4.186
Mo 0.000 0.000 0.000
K -5.360 -4.846 7.560
K -1.242 -2.375 2.641
```

Computed properties:
Mass density ... 3.18 Mg/m³
Formation energy ... 89.4 kJ per mole of atoms
M_tot ... 4.75 μB/cell
Space-group type ... I4/mmm (139)

---

# 2
## UTc2Ge3 (PBE)

Data for a relaxed structure of UTc2Ge3.

Structure (extended XYZ):
```
12
Lattice="5.775 -0.104 -0.114 -0.052 6.034 -0.055 -0.052 -0.624 6.002" Properties=species:S:1:pos:R:3 pbc="T T T"
Ge 4.326 2.448 0.473
Ge 3.932 4.911 5.399
Ge 1.345 2.858 5.360
Ge 1.345 5.066 3.351
Ge 1.739 0.395 0.434
Ge 4.326 0.240 2.482
U 4.597 3.064 3.368
U 1.075 2.242 2.465
Tc 2.836 0.978 4.441
Tc -0.052 4.740 1.122
Tc -0.052 0.670 4.825
Tc 2.836 4.329 1.392
```

Computed properties:
Mass density ... 10.36 Mg/m³
Formation energy ... -11.5 kJ per mole of atoms
M_tot ... 1.09 μB/cell
Space-group type ... C2/m (12)

---

# 3
## UGaAu4 (PBE)

Data for a relaxed structure of UGaAu4.

Structure (extended XYZ):
```
6
Lattice="-1.572 -5.235 -1.205 3.652 -3.557 -2.311 2.009 -4.284 2.990" Properties=species:S:1:pos:R:3 pbc="T T T"
Au 0.726 -6.394 0.829
Au 2.556 -8.176 -0.329
Au 1.550 -6.029 -1.828
Au 3.344 -5.553 0.275
Ga 0.000 0.000 0.000
U 1.022 -3.269 -0.132
```

Computed properties:
Mass density ... 14.67 Mg/m³
Formation energy ... -2.6 kJ per mole of atoms
M_tot ... 2.88 μB/cell
Space-group type ... F-43m (216)

---

# 4
## CaYTe2 (PBE)

Data for a relaxed structure of CaYTe2.

Structure (extended XYZ):
```
4
Lattice="3.847 0.000 0.000 0.000 3.846 0.012 0.000 3.711 7.747" Properties=species:S:1:pos:R:3 pbc="T T T"
Y 1.923 1.889 1.940
Te 0.000 3.826 0.096
Te 0.000 3.799 3.796
Ca 1.923 5.668 5.820
```

Computed properties:
Mass density ... 5.57 Mg/m³
Formation energy from raw total energies ... -1.26 eV per atom
M_tot ... 0.00 μB/cell
Space-group type ... P2/m (10)

---

# 5
## Tb2Pm4DyHo2 (PBE)

Data for a relaxed structure of Tb2Pm4DyHo2.

Structure (extended XYZ):
```
9
Lattice="-2.713 3.373 -2.649 -5.056 -5.339 3.241 1.505 5.578 5.561" Properties=species:S:1:pos:R:3 pbc="T T T"
Pm -3.911 3.386 3.456
Pm -2.353 0.226 2.698
Pm -4.706 0.476 5.426
Pm -1.558 3.136 0.727
Dy 0.000 0.000 0.000
Ho -4.270 -2.431 1.278
Ho -1.994 6.044 4.875
Tb -0.422 2.919 4.148
Tb -5.842 0.694 2.005
```

Computed properties:
Mass density ... 7.84 Mg/m³
Formation energy ... 1.7 kJ per mole of atoms
M_tot ... 0.00 μB/cell
Space-group type ... C2/m (12)

---

# 6
## SrCu3Rh4O12 (PBE)

Data for a relaxed structure of SrCu3Rh4O12.

Structure (extended XYZ):
```
20
Lattice="-5.617 -1.235 -3.077 4.882 0.054 -4.325 1.099 -4.630 4.462" Properties=species:S:1:pos:R:3 pbc="T T T"
Rh 2.441 0.027 -2.163
Rh 0.549 -2.315 2.231
Rh -2.809 -0.618 -1.539
Rh 0.182 -2.906 -1.470
O -0.992 -1.359 -2.077
O -3.626 -2.464 -1.785
O -0.401 -2.603 0.455
O 1.356 -4.452 -0.863
O -2.098 -4.807 0.975
O 2.462 -1.005 -3.916
O 1.632 -4.008 1.917
O -1.268 -1.803 -4.858
O -1.379 -4.183 -1.733
O 3.990 -3.347 -1.156
O 1.743 -1.628 -1.207
O 0.765 -3.208 -3.396
Cu -0.367 -0.591 -3.701
Cu 2.991 -2.288 0.068
Cu -2.259 -2.932 0.692
Sr 0.000 0.000 0.000
```

Computed properties:
Mass density ... 6.85 Mg/m³
Formation energy from raw total energies ... -0.91 eV per atom
M_tot ... 1.02 μB/cell
Space-group type ... Im-3 (204)